First-principles (PBE) data for a relaxed structure of TmAl4Ir, as listed in Alexandria via LeMat-Bulk.

Calculated total energy: -5.140 eV/atom
DOS(E_F): 5.9 states/eV/cell
E_form: -41 kJ per mole of atoms

Geometry as extended XYZ:
```
12
Lattice="2.751 -4.445 5.038 -4.406 -5.745 -0.542 3.612 3.256 -5.391" Properties=species:S:1:pos:R:3 pbc="T T T"
Al 1.794 -3.484 2.277
Al -2.022 -4.875 -2.282
Al -1.496 -2.354 -1.299
Tm -0.827 -5.095 2.248
Tm 0.000 0.000 0.000
Al 3.979 -2.058 1.386
Al 0.164 -3.450 -3.172
Al 0.111 -4.488 -0.619
Ir -0.414 -2.548 1.124
Ir -1.241 -7.643 3.372
Al 1.846 -2.446 -0.277
Al 3.453 -4.580 0.403
```



First-principles (PBE) data for a relaxed structure of In3Sb5, as listed in Alexandria via LeMat-Bulk.

Calculated total energy: -3.474 eV/atom
DOS(E_F): 8.1 states/eV/cell
Raw formation energy: 0.130 eV/atom

Geometry as extended XYZ:
```
16
Lattice="-5.519 -6.400 -3.585 8.843 -1.912 1.552 -1.533 -2.112 6.131" Properties=species:S:1:pos:R:3 pbc="T T T"
In 4.037 -1.493 2.306
In 4.929 -6.690 4.359
Sb -5.056 -7.481 1.590
Sb 3.289 -4.464 2.906
In 5.693 -5.634 1.293
Sb -4.289 -6.426 -1.476
Sb 0.804 -8.750 2.618
In 0.520 -5.741 3.584
Sb 1.572 -7.692 -0.447
Sb -0.628 -2.180 0.902
In 1.287 -4.682 0.519
Sb -1.393 -3.236 3.968
Sb -0.733 -4.904 -1.871
In 3.268 -2.547 5.371
Sb 2.523 -5.520 5.970
Sb -1.498 -5.959 1.192
```



First-principles (PBE) data for a relaxed structure of Hf4As2P, as listed in Alexandria via LeMat-Bulk.

Calculated total energy: -8.565 eV/atom
DOS(E_F): 3.5 states/eV/cell
E_form: -75 kJ per mole of atoms

Geometry as extended XYZ:
```
7
Lattice="3.639 0.000 0.000 0.000 6.408 -0.090 -1.820 -3.211 6.092" Properties=species:S:1:pos:R:3 pbc="T T T"
P 0.000 0.000 0.000
As 0.000 -0.124 3.092
Hf 1.820 -0.988 4.842
Hf 0.000 2.102 4.572
Hf 1.820 1.095 1.430
As 1.820 3.321 2.910
Hf 0.000 4.185 1.161
```



First-principles (PBE) data for a relaxed structure of CaAcDy, as listed in Alexandria via LeMat-Bulk.

Calculated total energy: -3.244 eV/atom
DOS(E_F): 9.3 states/eV/cell
E_form: 31 kJ per mole of atoms

Geometry as extended XYZ:
```
6
Lattice="5.835 0.000 0.000 2.918 5.054 0.000 2.918 1.685 8.592" Properties=species:S:1:pos:R:3 pbc="T T T"
Ac 8.753 5.054 7.382
Ca 5.835 3.369 5.932
Ac 2.918 1.685 1.210
Dy 8.753 5.054 3.699
Dy 2.918 1.685 4.893
Ca 5.835 3.369 2.659
```



First-principles (PBE) data for a relaxed structure of ErTmInNi, as listed in Alexandria via LeMat-Bulk.

Calculated total energy: -4.723 eV/atom
DOS(E_F): 3.9 states/eV/cell
E_form: -32 kJ per mole of atoms

Geometry as extended XYZ:
```
4
Lattice="5.034 0.000 0.000 2.517 4.360 0.000 2.517 1.453 4.111" Properties=species:S:1:pos:R:3 pbc="T T T"
In 7.551 4.360 3.083
Er 0.000 0.000 0.000
Ni 2.517 1.453 1.028
Tm 5.034 2.907 2.055
```



First-principles (PBE) data for a relaxed structure of Al2FeCo3, as listed in Alexandria via LeMat-Bulk.

Calculated total energy: -6.624 eV/atom
DOS(E_F): 1.4 states/eV/cell
E_form: -40 kJ per mole of atoms

Geometry as extended XYZ:
```
6
Lattice="2.856 0.000 0.000 0.000 2.856 0.000 0.000 0.000 8.552" Properties=species:S:1:pos:R:3 pbc="T T T"
Co 0.000 0.000 5.650
Fe 1.428 1.428 4.276
Al 1.428 1.428 1.433
Co 0.000 0.000 2.902
Al 1.428 1.428 7.120
Co 0.000 0.000 0.000
```